[1]
GGA-PBE TiHg2F2, optimized geometry; D(E_F) = 0.6070 states/eV per atom; E above lowest polymorph = 0.960 eV per atom; magnetic moment = 2.28 μB/f.u.
1.0
-1.863 1.863 7.634
1.863 -1.863 7.634
1.863 1.863 -7.634
Ti Hg F
1 2 2
direct
0.000 0.000 0.000
0.250 0.750 0.500
0.750 0.250 0.500
0.421 0.421 0.000
0.579 0.579 0.000

=====

[2]
GGA-PBE YTi2HgF, optimized geometry; D(E_F) = 1.4546 states/eV per atom; magnetic moment = 0.70 μB/f.u.
1.0
4.257 0.000 0.000
0.000 4.257 0.000
0.000 0.000 5.404
Y Ti Hg F
1 2 1 1
direct
0.000 0.000 0.000
0.000 0.500 0.500
0.500 0.000 0.500
0.500 0.500 0.000
0.500 0.500 0.500

=====

[3]
GGA-PBE TiZn2HgF, optimized geometry; D(E_F) = 0.6992 states/eV per atom; magnetic moment = 2.01 μB/f.u.
1.0
4.267 0.000 0.000
0.000 4.267 0.000
0.000 0.000 5.055
Ti Zn Hg F
1 2 1 1
direct
0.000 0.000 0.000
0.000 0.500 0.500
0.500 0.000 0.500
0.500 0.500 0.000
0.500 0.500 0.500

=====

[4]
GGA-PBE Tl4HgF4, optimized geometry; D(E_F) = 0.0000 states/eV per atom; magnetic moment = 0.00 μB/f.u.
1.0
-5.021 5.021 2.684
5.021 -5.021 2.684
5.021 5.021 -2.684
Tl Hg F
4 1 4
direct
0.128 0.344 0.472
0.344 0.872 0.216
0.656 0.128 0.784
0.872 0.656 0.528
0.000 0.000 0.000
0.119 0.596 0.715
0.404 0.119 0.523
0.596 0.881 0.477
0.881 0.404 0.285

=====

[5]
GGA-PBE Tl3Hg12F5, optimized geometry; D(E_F) = 0.5977 states/eV per atom; magnetic moment = 0.00 μB/f.u.
1.0
-8.376 8.376 8.376
8.376 -8.376 8.376
8.376 8.376 -8.376
Tl Hg F
12 48 20
direct
0.125 0.250 0.375
0.125 0.375 0.750
0.250 0.375 0.125
0.250 0.875 0.625
0.375 0.125 0.250
0.375 0.750 0.125
0.625 0.250 0.875
0.625 0.875 0.750
0.750 0.125 0.375
0.750 0.625 0.875
0.875 0.625 0.250
0.875 0.750 0.625
0.036 0.215 0.116
0.036 0.321 0.919
0.081 0.616 0.402
0.081 0.964 0.679
0.098 0.715 0.679
0.098 0.884 0.419
0.116 0.036 0.215
0.116 0.581 0.902
0.179 0.215 0.598
0.179 0.464 0.581
0.215 0.116 0.036
0.215 0.598 0.179
0.285 0.321 0.902
0.285 0.464 0.384
0.321 0.902 0.285
0.321 0.919 0.036
0.384 0.285 0.464
0.384 0.598 0.919
0.402 0.081 0.616
0.402 0.821 0.785
0.419 0.098 0.884
0.419 0.821 0.536
0.464 0.384 0.285
0.464 0.581 0.179
0.536 0.419 0.821
0.536 0.616 0.715
0.581 0.179 0.464
0.581 0.902 0.116
0.598 0.179 0.215
0.598 0.919 0.384
0.616 0.402 0.081
0.616 0.715 0.536
0.679 0.081 0.964
0.679 0.098 0.715
0.715 0.536 0.616
0.715 0.679 0.098
0.785 0.402 0.821
0.785 0.884 0.964
0.821 0.536 0.419
0.821 0.785 0.402
0.884 0.419 0.098
0.884 0.964 0.785
0.902 0.116 0.581
0.902 0.285 0.321
0.919 0.036 0.321
0.919 0.384 0.598
0.964 0.679 0.081
0.964 0.785 0.884
0.000 0.000 0.000
0.000 0.000 0.500
0.000 0.500 0.000
0.000 0.500 0.500
0.125 0.750 0.875
0.125 0.875 0.250
0.250 0.125 0.875
0.250 0.625 0.375
0.375 0.250 0.625
0.375 0.625 0.750
0.500 0.000 0.000
0.500 0.000 0.500
0.500 0.500 0.000
0.500 0.500 0.500
0.625 0.375 0.250
0.625 0.750 0.375
0.750 0.375 0.625
0.750 0.875 0.125
0.875 0.125 0.750
0.875 0.250 0.125

=====

[6]
GGA-PBE TlHg4F12, optimized geometry; D(E_F) = 0.5259 states/eV per atom; magnetic moment = 0.00 μB/f.u.
1.0
-4.296 4.296 4.296
4.296 -4.296 4.296
4.296 4.296 -4.296
Tl Hg F
1 4 12
direct
0.000 0.000 0.000
0.000 0.000 0.500
0.000 0.500 0.000
0.500 0.000 0.000
0.500 0.500 0.500
0.092 0.254 0.838
0.162 0.416 0.254
0.162 0.908 0.746
0.254 0.162 0.416
0.254 0.838 0.092
0.416 0.254 0.162
0.584 0.746 0.838
0.746 0.162 0.908
0.746 0.838 0.584
0.838 0.092 0.254
0.838 0.584 0.746
0.908 0.746 0.162

=====

[7]
GGA-PBE TlHgF, optimized geometry; D(E_F) = 0.0863 states/eV per atom; E above lowest polymorph = 0.203 eV per atom; magnetic moment = 0.00 μB/f.u.
1.0
0.000 3.430 3.430
3.430 0.000 3.430
3.430 3.430 0.000
Tl Hg F
1 1 1
direct
0.000 0.000 0.000
0.500 0.500 0.500
0.250 0.250 0.250

=====

[8]
GGA-PBE Tl3Hg2F7, optimized geometry; D(E_F) = 0.0000 states/eV per atom; magnetic moment = 0.00 μB/f.u.
1.0
-2.327 2.327 11.323
2.327 -2.327 11.323
2.327 2.327 -11.323
Tl Hg F
3 2 7
direct
0.000 0.000 0.000
0.184 0.184 0.000
0.816 0.816 0.000
0.398 0.398 0.000
0.602 0.602 0.000
0.097 0.597 0.500
0.297 0.297 0.000
0.403 0.903 0.500
0.500 0.500 0.000
0.597 0.097 0.500
0.703 0.703 0.000
0.903 0.403 0.500

=====

[9]
GGA-PBE Tl3Hg5F12, optimized geometry; D(E_F) = 0.3403 states/eV per atom; magnetic moment = 0.00 μB/f.u.
1.0
-7.458 7.458 7.458
7.458 -7.458 7.458
7.458 7.458 -7.458
Tl Hg F
12 20 48
direct
0.125 0.250 0.375
0.125 0.375 0.750
0.250 0.375 0.125
0.250 0.875 0.625
0.375 0.125 0.250
0.375 0.750 0.125
0.625 0.250 0.875
0.625 0.875 0.750
0.750 0.125 0.375
0.750 0.625 0.875
0.875 0.625 0.250
0.875 0.750 0.625
0.000 0.000 0.000
0.000 0.000 0.500
0.000 0.500 0.000
0.000 0.500 0.500
0.125 0.750 0.875
0.125 0.875 0.250
0.250 0.125 0.875
0.250 0.625 0.375
0.375 0.250 0.625
0.375 0.625 0.750
0.500 0.000 0.000
0.500 0.000 0.500
0.500 0.500 0.000
0.500 0.500 0.500
0.625 0.375 0.250
0.625 0.750 0.375
0.750 0.375 0.625
0.750 0.875 0.125
0.875 0.125 0.750
0.875 0.250 0.125
0.027 0.202 0.118
0.027 0.326 0.909
0.084 0.702 0.674
0.084 0.882 0.409
0.091 0.618 0.416
0.091 0.973 0.674
0.118 0.027 0.202
0.118 0.591 0.916
0.174 0.202 0.584
0.174 0.473 0.591
0.202 0.118 0.027
0.202 0.584 0.174
0.298 0.326 0.916
0.298 0.473 0.382
0.326 0.909 0.027
0.326 0.916 0.298
0.382 0.298 0.473
0.382 0.584 0.909
0.409 0.084 0.882
0.409 0.826 0.527
0.416 0.091 0.618
0.416 0.826 0.798
0.473 0.382 0.298
0.473 0.591 0.174
0.527 0.409 0.826
0.527 0.618 0.702
0.584 0.174 0.202
0.584 0.909 0.382
0.591 0.174 0.473
0.591 0.916 0.118
0.618 0.416 0.091
0.618 0.702 0.527
0.674 0.084 0.702
0.674 0.091 0.973
0.702 0.527 0.618
0.702 0.674 0.084
0.798 0.416 0.826
0.798 0.882 0.973
0.826 0.527 0.409
0.826 0.798 0.416
0.882 0.409 0.084
0.882 0.973 0.798
0.909 0.027 0.326
0.909 0.382 0.584
0.916 0.118 0.591
0.916 0.298 0.326
0.973 0.674 0.091
0.973 0.798 0.882

=====

[10]
GGA-PBE TlHg2F, optimized geometry; D(E_F) = 0.0952 states/eV per atom; E above lowest polymorph = 0.337 eV per atom; magnetic moment = 0.00 μB/f.u.
1.0
1.677 0.968 9.798
-1.677 0.968 9.798
0.000 -1.936 9.798
Tl Hg F
1 2 1
direct
0.000 0.000 0.000
0.104 0.104 0.104
0.896 0.896 0.896
0.500 0.500 0.500

=====

[11]
GGA-PBE Tl3Hg2F8, optimized geometry; D(E_F) = 0.4882 states/eV per atom; magnetic moment = 0.00 μB/f.u.
1.0
3.367 1.944 6.963
-3.367 1.944 6.963
0.000 -3.888 6.963
Tl Hg F
3 2 8
direct
0.000 0.000 0.000
0.189 0.189 0.189
0.811 0.811 0.811
0.410 0.410 0.410
0.590 0.590 0.590
0.194 0.741 0.741
0.259 0.259 0.806
0.259 0.806 0.259
0.304 0.304 0.304
0.696 0.696 0.696
0.741 0.194 0.741
0.741 0.741 0.194
0.806 0.259 0.259

=====

[12]
GGA-PBE Tl3HgF4, optimized geometry; D(E_F) = 0.2039 states/eV per atom; magnetic moment = 0.00 μB/f.u.
1.0
8.389 0.000 0.000
0.000 7.010 0.000
0.000 0.000 6.200
Tl Hg F
6 2 8
direct
0.000 0.137 0.000
0.237 0.663 0.972
0.263 0.337 0.472
0.500 0.863 0.500
0.737 0.337 0.472
0.763 0.663 0.972
0.000 0.788 0.599
0.500 0.212 0.099
0.000 0.136 0.558
0.000 0.461 0.126
0.225 0.720 0.369
0.275 0.280 0.869
0.500 0.539 0.626
0.500 0.864 0.058
0.725 0.280 0.869
0.775 0.720 0.369

=====

[13]
GGA-PBE Tl3HgF, optimized geometry; D(E_F) = 0.6217 states/eV per atom; E above lowest polymorph = 0.433 eV per atom; magnetic moment = 0.00 μB/f.u.
1.0
5.875 0.000 0.000
0.000 5.875 0.000
0.000 0.000 5.875
Tl Hg F
3 1 1
direct
0.000 0.000 0.500
0.000 0.500 0.000
0.500 0.000 0.000
0.000 0.000 0.000
0.500 0.500 0.500

=====

[14]
GGA-PBE Tl2HgF6, optimized geometry; D(E_F) = 0.3212 states/eV per atom; magnetic moment = 0.00 μB/f.u.
1.0
-2.043 2.873 6.117
2.043 -2.873 6.117
2.043 2.873 -6.117
Tl Hg F
2 1 6
direct
0.165 0.165 0.000
0.835 0.835 0.000
0.500 0.500 0.000
0.084 0.334 0.750
0.251 0.000 0.251
0.416 0.666 0.750
0.584 0.334 0.250
0.749 0.000 0.749
0.916 0.666 0.250

=====

[15]
GGA-PBE TlHgF2, optimized geometry; D(E_F) = 0.3262 states/eV per atom; E above lowest polymorph = 0.180 eV per atom; magnetic moment = 0.00 μB/f.u.
1.0
3.168 -1.835 0.000
3.168 1.835 0.000
-2.111 0.000 7.068
Tl Hg F
1 1 2
direct
0.000 0.000 0.000
0.831 0.831 0.494
0.410 0.410 0.228
0.565 0.565 0.699

=====

[16]
GGA-PBE TlHgF2, optimized geometry; E above lowest polymorph = 0.000 eV per atom; magnetic moment = 0.00 μB/f.u.
1.0
5.644 0.000 0.000
0.000 3.688 0.000
-1.640 0.000 7.898
Tl Hg F
2 2 4
direct
0.229 0.250 0.383
0.771 0.750 0.617
0.311 0.750 0.939
0.689 0.250 0.061
0.024 0.250 0.865
0.221 0.750 0.620
0.779 0.250 0.380
0.976 0.750 0.135

=====

[17]
GGA-PBE TlHgF, optimized geometry; D(E_F) = 0.0000 states/eV per atom; E above lowest polymorph = 0.000 eV per atom; magnetic moment = 0.00 μB/f.u.
1.0
3.795 -2.179 0.000
3.795 2.179 0.000
-2.559 0.000 11.314
Tl Hg F
2 2 2
direct
0.215 0.215 0.143
0.785 0.785 0.857
0.368 0.368 0.601
0.632 0.632 0.399
0.140 0.140 0.921
0.860 0.860 0.079

=====

Number 1: total energy -3.014 eV/atom, formation energy without anion corrections -13.051 kcal/mol of atoms. Number 2: total energy -5.451 eV/atom, formation energy without anion corrections -13.041 kcal/mol of atoms. Number 3: total energy -2.592 eV/atom, formation energy without anion corrections -1.596 kcal/mol of atoms. Number 4: total energy -3.442 eV/atom, formation energy without anion corrections -35.171 kcal/mol of atoms. Number 5: total energy -1.482 eV/atom, formation energy without anion corrections -11.032 kcal/mol of atoms. Number 6: total energy -2.851 eV/atom, formation energy without anion corrections -30.444 kcal/mol of atoms. Number 7: total energy -2.457 eV/atom, formation energy without anion corrections -21.761 kcal/mol of atoms. Number 8: total energy -3.326 eV/atom, formation energy without anion corrections -36.735 kcal/mol of atoms. Number 9: total energy -3.006 eV/atom, formation energy without anion corrections -33.507 kcal/mol of atoms. Number 10: total energy -1.734 eV/atom, formation energy without anion corrections -12.086 kcal/mol of atoms. Number 11: total energy -3.239 eV/atom, formation energy without anion corrections -34.483 kcal/mol of atoms. Number 12: total energy -3.339 eV/atom, formation energy without anion corrections -34.097 kcal/mol of atoms. Number 13: total energy -1.987 eV/atom, formation energy without anion corrections -3.066 kcal/mol of atoms. Number 14: total energy -3.445 eV/atom, formation energy without anion corrections -37.783 kcal/mol of atoms. Number 15: total energy -2.841 eV/atom, formation energy without anion corrections -28.551 kcal/mol of atoms. Number 16: total energy -3.020 eV/atom, formation energy without anion corrections -32.692 kcal/mol of atoms. Number 17: total energy -2.659 eV/atom, formation energy without anion corrections -26.435 kcal/mol of atoms.